# 1
# Hf6HgC

A geometry-optimized Hf6HgC structure (PBE-GGA, Alexandria).

Geometry as extended XYZ:
```
8
Lattice="-0.593 -2.491 -4.909 4.768 -3.498 -3.943 -2.914 -6.279 -1.598" Properties=species:S:1:pos:R:3 pbc="T T T"
Hf -1.636 -9.376 -7.569
Hf -2.339 -7.139 -5.521
Hf -0.107 -3.807 -3.171
Hf 3.601 -5.128 -4.928
Hf 2.898 -2.891 -2.880
Hf 1.368 -8.460 -7.279
Hg 0.631 -6.134 -5.225
C 0.000 0.000 0.000
```

Computed properties:
ΔH_f (0 K) (eV/atom): -0.213


# 2
# ThTiZn

A geometry-optimized ThTiZn structure (PBE-GGA, Alexandria).

Geometry as extended XYZ:
```
6
Lattice="-0.640 -2.836 1.551 0.125 0.102 -3.264 14.187 -2.954 0.452" Properties=species:S:1:pos:R:3 pbc="T T T"
Zn -0.363 -1.708 0.228
Zn 6.985 -2.211 -1.160
Th 4.187 -2.670 0.346
Th 9.270 -3.728 0.508
Ti 12.064 -3.255 -0.974
Ti 1.910 -1.141 -1.298
```

Computed properties:
ΔH_f (0 K) (eV/atom): 0.224
Energy relative to the lowest polymorph listed for this composition (meV per atom): 132


# 3
# AcBS3

A geometry-optimized AcBS3 structure (PBE-GGA, Alexandria).

Geometry as extended XYZ:
```
20
Lattice="-7.329 4.634 -5.152 2.844 -7.169 -0.427 -5.493 -2.510 5.556" Properties=species:S:1:pos:R:3 pbc="T T T"
Ac -1.782 -4.787 -0.809
Ac -8.195 -0.259 0.786
Ac -4.607 -2.611 3.440
Ac -5.370 -2.435 -3.463
B -5.108 -3.826 -0.170
B -4.869 -1.219 0.147
B -6.284 2.125 -4.704
B -3.693 -7.171 4.681
S -5.396 3.124 -3.353
S -4.581 -8.170 3.330
S -6.016 -4.834 -1.501
S -3.961 -0.211 1.478
S -4.123 -4.843 1.126
S -5.854 -0.203 -1.149
S -0.649 -1.816 -0.131
S -9.328 -3.230 0.108
S -6.624 0.215 -4.388
S -3.353 -5.260 4.365
S -6.141 -2.543 0.903
S -3.835 -2.502 -0.926
```

Computed properties:
ΔE_f (raw) (eV/atom): -1.29
Energy relative to the lowest polymorph listed for this composition (meV per atom): 73


# 4
# ScMnIn2

A geometry-optimized ScMnIn2 structure (PBE-GGA, Alexandria).

Geometry as extended XYZ:
```
4
Lattice="-2.881 -1.813 -0.058 1.695 -2.767 2.322 -1.996 3.010 5.044" Properties=species:S:1:pos:R:3 pbc="T T T"
In -1.977 2.980 4.995
In -1.124 -1.490 2.473
Mn -1.022 1.541 2.583
Sc -2.055 -0.088 4.824
```

Computed properties:
ΔH_f (0 K) (eV/atom): 0.010


# 5
# RbReRu3

A geometry-optimized RbReRu3 structure (PBE-GGA, Alexandria).

Geometry as extended XYZ:
```
5
Lattice="4.820 0.000 0.000 0.000 4.820 0.000 0.000 0.000 4.820" Properties=species:S:1:pos:R:3 pbc="T T T"
Re 0.000 0.000 0.000
Rb 2.410 2.410 2.410
Ru 0.000 2.410 0.000
Ru 0.000 0.000 2.410
Ru 2.410 0.000 0.000
```

Computed properties:
ΔH_f (0 K) (eV/atom): 1.516
Energy relative to the lowest polymorph listed for this composition (meV per atom): 0


# 6
# AgSbPSe2

A geometry-optimized AgSbPSe2 structure (PBE-GGA, Alexandria).

Geometry as extended XYZ:
```
5
Lattice="5.415 0.000 0.000 0.000 5.202 0.000 0.000 0.000 5.415" Properties=species:S:1:pos:R:3 pbc="T T T"
Sb 0.000 0.000 0.000
Se 0.000 0.000 2.707
Se 2.707 0.000 0.000
Ag 0.000 2.601 0.000
P 2.707 2.601 2.707
```

Computed properties:
ΔE_f (raw) (eV/atom): 0.98


# 7
# Cs3CdSb2O6

A geometry-optimized Cs3CdSb2O6 structure (PBE-GGA, Alexandria).

Geometry as extended XYZ:
```
12
Lattice="6.430 0.000 0.000 -3.215 5.568 0.000 0.000 0.000 7.888" Properties=species:S:1:pos:R:3 pbc="T T T"
Cs 0.000 3.712 5.292
Cs 3.215 1.856 2.595
Cs 0.000 0.000 0.000
Cd 0.000 0.000 3.944
Sb 3.215 1.856 6.130
Sb 0.000 3.712 1.757
O 1.549 4.607 2.527
O 0.000 1.923 2.527
O -1.549 4.607 2.527
O 3.215 3.645 5.360
O 1.665 0.962 5.360
O 4.764 0.962 5.360
```

Computed properties:
ΔE_f (raw) (eV/atom): -1.30


# 8
# TmGa2Pt4

A geometry-optimized TmGa2Pt4 structure (PBE-GGA, Alexandria).

Geometry as extended XYZ:
```
14
Lattice="-3.172 -2.033 1.220 0.353 -4.428 -6.457 4.679 -5.063 3.728" Properties=species:S:1:pos:R:3 pbc="T T T"
Tm -1.586 -1.016 0.610
Tm 2.516 -4.745 -1.365
Ga 3.703 -4.920 1.428
Ga 1.330 -4.571 -4.158
Ga 2.067 -7.904 -1.371
Ga -0.206 -3.619 -0.138
Pt 1.554 -1.987 0.727
Pt 3.479 -7.504 -3.457
Pt 1.170 -4.701 1.634
Pt 0.691 -6.823 -3.144
Pt 2.431 -7.078 0.951
Pt -0.569 -4.445 -2.460
Pt 0.470 -1.828 -1.825
Pt 4.563 -7.663 -0.905
```

Computed properties:
ΔH_f (0 K) (eV/atom): -0.810
Energy relative to the lowest polymorph listed for this composition (meV per atom): 32


# 9
# SrBiF3

A geometry-optimized SrBiF3 structure (PBE-GGA, Alexandria).

Geometry as extended XYZ:
```
5
Lattice="-0.953 3.726 2.968 -4.588 0.095 -1.592 -1.279 -3.115 3.501" Properties=species:S:1:pos:R:3 pbc="T T T"
Sr -3.410 0.352 2.438
Bi 0.000 0.000 0.000
F -2.294 0.047 -0.796
F -0.639 -1.558 1.750
F -0.476 1.863 1.484
```

Computed properties:
ΔE_f (raw) (eV/atom): -1.96
Energy relative to the lowest polymorph listed for this composition (meV per atom): 367


# 10
# Fe2Os3Ru4

A geometry-optimized Fe2Os3Ru4 structure (PBE-GGA, Alexandria).

Geometry as extended XYZ:
```
18
Lattice="4.982 1.624 0.793 2.858 7.630 2.168 1.103 1.348 8.099" Properties=species:S:1:pos:R:3 pbc="T T T"
Fe 2.724 2.577 4.274
Fe 7.544 7.165 8.833
Fe 6.220 8.026 6.786
Fe 1.400 3.437 2.227
Os 7.553 9.234 4.794
Os 4.501 6.737 2.451
Os 1.391 1.369 6.266
Os 4.442 3.866 8.610
Os 2.972 5.100 4.736
Os 5.971 5.503 6.325
Ru 2.116 1.049 2.330
Ru 6.978 7.531 2.908
Ru 6.828 9.554 8.730
Ru 1.965 3.072 8.153
Ru 5.206 3.559 4.750
Ru 5.046 6.473 8.452
Ru 3.737 7.043 6.310
Ru 3.897 4.130 2.608
```

Computed properties:
ΔH_f (0 K) (eV/atom): 0.303


# 11
# Y2Er4Tl

A geometry-optimized Y2Er4Tl structure (PBE-GGA, Alexandria).

Geometry as extended XYZ:
```
14
Lattice="-5.537 -0.911 0.104 0.851 -4.629 4.788 1.851 8.514 7.903" Properties=species:S:1:pos:R:3 pbc="T T T"
Y -2.509 -3.821 3.813
Y -0.325 6.794 8.981
Y -0.186 2.401 4.708
Y -2.649 0.572 8.086
Er -2.526 -0.338 4.737
Er -3.162 2.894 10.422
Er 0.328 0.080 2.372
Er -2.935 1.885 2.438
Er -3.159 3.157 5.968
Er 0.101 1.088 10.356
Er -0.308 3.311 8.057
Er 0.324 -0.184 6.826
Tl 0.134 -2.425 4.693
Tl -2.968 5.398 8.101
```

Computed properties:
ΔH_f (0 K) (eV/atom): 0.005


# 12
# K3Na3HgBr8

A geometry-optimized K3Na3HgBr8 structure (PBE-GGA, Alexandria).

Geometry as extended XYZ:
```
15
Lattice="-8.493 1.900 -1.169 4.105 -5.389 -5.599 -1.821 -2.963 8.418" Properties=species:S:1:pos:R:3 pbc="T T T"
K 0.000 0.000 0.000
K 2.052 -2.694 -2.799
K -2.194 -1.744 -3.384
Na -5.157 -0.531 3.625
Na -3.105 -3.226 0.825
Na 1.142 -4.176 1.410
Hg -0.911 -1.481 4.209
Br -0.577 -3.116 -0.872
Br -5.633 -3.335 2.523
Br -4.849 -2.309 -1.504
Br -1.361 -4.142 3.155
Br -6.997 0.514 1.429
Br 0.787 -6.966 0.222
Br -2.552 -0.480 2.041
Br -3.658 -5.971 -0.390
```

Computed properties:
ΔE_f (raw) (eV/atom): -1.40